Record 1
Entry from Alexandria via LeMat-Bulk: crystalline MnZnSi2 at its relaxed geometry (PBE-GGA).

The structure in POSCAR format:
```
MnZnSi2
1.0
1.446 0.835 7.836
-1.446 0.835 7.836
0.000 -1.670 7.836
Mn Zn Si
1 1 2
direct
0.000 0.000 0.000
0.754 0.754 0.754
0.255 0.255 0.255
0.508 0.508 0.508
```

Computed properties:
- E_tot: -0.37699 Ry per atom
- Energy relative to the elements, uncorrected: 75 kJ/mol of formula units



Record 2
Entry from Alexandria via LeMat-Bulk: crystalline LiPrCd2Au4 at its relaxed geometry (PBE-GGA).

The structure in POSCAR format:
```
LiPrCd2Au4
1.0
2.397 1.384 8.349
-2.397 1.384 8.349
0.000 -2.767 8.349
Li Pr Cd Au
1 1 2 4
direct
0.000 0.000 0.000
0.500 0.500 0.500
0.256 0.256 0.256
0.744 0.744 0.744
0.107 0.107 0.107
0.372 0.372 0.372
0.628 0.628 0.628
0.893 0.893 0.893
```

Computed properties:
- E_tot: -0.23517 Ry per atom



Record 3
Entry from Alexandria via LeMat-Bulk: crystalline LiTiZnSn at its relaxed geometry (PBE-GGA).

The structure in POSCAR format:
```
LiTiZnSn
1.0
3.929 0.000 0.000
0.000 4.122 0.000
0.000 0.000 4.198
Li Ti Zn Sn
1 1 1 1
direct
0.000 0.000 0.000
0.000 0.500 0.500
0.500 0.500 0.000
0.500 0.000 0.500
```

Computed properties:
- E_tot: -0.29556 Ry per atom



Record 4
Entry from Alexandria via LeMat-Bulk: crystalline SrB3F12 at its relaxed geometry (PBE-GGA).

The structure in POSCAR format:
```
SrB3F12
1.0
9.569 0.000 0.000
-4.784 8.287 0.000
0.000 0.000 6.080
Sr B F
2 6 24
direct
0.333 0.667 0.250
0.667 0.333 0.750
0.097 0.709 0.750
0.291 0.388 0.750
0.388 0.097 0.250
0.612 0.903 0.750
0.709 0.612 0.250
0.903 0.291 0.250
0.036 0.450 0.250
0.045 0.822 0.750
0.178 0.224 0.750
0.192 0.731 0.560
0.192 0.731 0.940
0.224 0.045 0.250
0.269 0.461 0.560
0.269 0.461 0.940
0.414 0.964 0.250
0.450 0.414 0.750
0.461 0.192 0.060
0.461 0.192 0.440
0.539 0.808 0.560
0.539 0.808 0.940
0.550 0.586 0.250
0.586 0.036 0.750
0.731 0.539 0.060
0.731 0.539 0.440
0.776 0.955 0.750
0.808 0.269 0.060
0.808 0.269 0.440
0.822 0.776 0.250
0.955 0.178 0.250
0.964 0.550 0.750
```

Computed properties:
- E_tot: -0.41564 Ry per atom
- Energy relative to the elements, uncorrected: -4468 kJ/mol of formula units